Record 1
LaPAu | PBE | relaxed

The value obtained for the total moment is 0.00 μB/f.u. The value obtained for the volume is 67.87 Å³/f.u. The value obtained for the density of states at the Fermi level is 0.757 states/eV per atom. For the uncorrected energy, the calculation gives -5.54 eV/atom.

```
data_LaPAu
_symmetry_space_group_name_H-M 'P 3 m 1'
_symmetry_Int_Tables_number 156
_symmetry_space_group_name_Hall 'P 3 -2"'
_cell_length_a 4.3088
_cell_length_b 4.3088
_cell_length_c 4.2210
_cell_angle_alpha 90.00
_cell_angle_beta 90.00
_cell_angle_gamma 120.00
loop_
_atom_site_label
_atom_site_type_symbol
_atom_site_fract_x
_atom_site_fract_y
_atom_site_fract_z
La1 La 0.0000 0.0000 0.0000
P1 P 0.6667 0.3333 0.4992
Au1 Au 0.3333 0.6667 0.5007
```

---

Record 2
SrGeNO2 | PBE | relaxed

The value obtained for the total moment is 0.94 μB/f.u. The value obtained for the volume is 59.79 Å³/f.u. The value obtained for the density of states at the Fermi level is 0.436 states/eV per atom. For the uncorrected energy, the calculation gives -6.14 eV/atom.

```
data_SrGeNO2
_symmetry_space_group_name_H-M 'P 4/m m m'
_symmetry_Int_Tables_number 123
_symmetry_space_group_name_Hall '-P 4 2'
_cell_length_a 3.9547
_cell_length_b 3.9547
_cell_length_c 3.8228
_cell_angle_alpha 90.00
_cell_angle_beta 90.00
_cell_angle_gamma 90.00
loop_
_atom_site_label
_atom_site_type_symbol
_atom_site_fract_x
_atom_site_fract_y
_atom_site_fract_z
Sr1 Sr 0.0000 0.0000 0.0000
Ge1 Ge 0.5000 0.5000 0.5000
N1 N 0.5000 0.5000 0.0000
O1 O 0.0000 0.5000 0.5000
```

---

Record 3
ZrReIr2 | PBE | relaxed

The value obtained for the total moment is 0.00 μB/f.u. The offset from the most stable computed form is 0 meV/atom. The value obtained for the volume is 64.11 Å³/f.u. The value obtained for the density of states at the Fermi level is 1.027 states/eV per atom.

```
data_ZrReIr2
_symmetry_space_group_name_H-M 'P 4/m m m'
_symmetry_Int_Tables_number 123
_symmetry_space_group_name_Hall '-P 4 2'
_cell_length_a 4.0336
_cell_length_b 4.0336
_cell_length_c 3.9404
_cell_angle_alpha 90.00
_cell_angle_beta 90.00
_cell_angle_gamma 90.00
loop_
_atom_site_label
_atom_site_type_symbol
_atom_site_fract_x
_atom_site_fract_y
_atom_site_fract_z
Zr1 Zr 0.0000 0.0000 0.0000
Re1 Re 0.5000 0.5000 0.0000
Ir1 Ir 0.0000 0.5000 0.5000
```

---

Record 4
Th5Hg4Pb | PBE | relaxed

The value obtained for the total moment is 0.00 μB/f.u. The value obtained for the volume is 278.78 Å³/f.u. The value obtained for the density of states at the Fermi level is 1.283 states/eV per atom. For the uncorrected energy, the calculation gives -4.43 eV/atom.

```
data_Th5Hg4Pb
_symmetry_space_group_name_H-M 'P 4/m m m'
_symmetry_Int_Tables_number 123
_symmetry_space_group_name_Hall '-P 4 2'
_cell_length_a 3.4683
_cell_length_b 3.4683
_cell_length_c 23.1761
_cell_angle_alpha 90.00
_cell_angle_beta 90.00
_cell_angle_gamma 90.00
loop_
_atom_site_label
_atom_site_type_symbol
_atom_site_fract_x
_atom_site_fract_y
_atom_site_fract_z
Th1 Th 0.0000 0.0000 0.0000
Th2 Th 0.0000 0.0000 0.1972
Th3 Th 0.0000 0.0000 0.3930
Hg1 Hg 0.5000 0.5000 0.0988
Hg2 Hg 0.5000 0.5000 0.2965
Pb1 Pb 0.5000 0.5000 0.5000
```

---

Question: Number 2 is which compound?
Answer: SrGeNO2